[1]
Be2Ir | the Alexandria database | SCAN | single point on PBEsol structure; crystal system = hexagonal
1.0
2.758 0.000 0.000
0.000 6.340 0.000
0.000 -3.170 5.490
Be Ir
6 3
Cartesian
0.000 2.259 3.912
0.000 -0.911 1.578
0.000 1.822 0.000
1.379 1.225 2.122
1.379 -1.945 3.368
1.379 3.889 0.000
0.000 3.170 1.830
0.000 0.000 3.660
1.379 0.000 0.000

[2]
K2BeIr | the Alexandria database | SCAN | single point on PBEsol structure; crystal system = tetragonal
1.0
-1.886 -1.253 2.950
1.530 -3.359 -0.449
8.539 5.234 5.338
Be K Ir
2 4 2
Cartesian
3.238 0.837 4.769
-0.178 -2.306 1.250
1.060 -1.047 3.745
2.765 -2.102 2.051
6.181 1.046 5.567
6.361 3.346 4.316
4.946 -0.216 3.070
0.000 0.000 0.000

Number 1: calculated formation energy -0.4595 eV/atom. Number 2: calculated formation energy 1.0787 eV/atom.